Entry 1:
Here is a geometry-optimized TiMn3Rh structure from the Alexandria database. Energies are from GGA-PBE.

Unit cell a=4.7062 b=4.7062 c=4.7062 alpha=90.00 beta=90.00 gamma=90.00
Space group Pm-3m (No. 221)
Symmetry-distinct sites (fractional):
1 Ti 0.0000 0.0000 0.0000 x1
2 Mn 0.0000 0.5000 0.5000 x3
3 Rh 0.5000 0.5000 0.5000 x1

Calculated values
The calculation puts the energy of formation from the pure elements at 0.961 eV per atom. The calculation puts the density of states at the Fermi level at 0.9324 states/eV/atom.

=====

Entry 2:
Here is a geometry-optimized ZrInRu2Pt structure from the Alexandria database. Energies are from GGA-PBE.

Unit cell a=4.8131 b=4.8131 c=4.8668 alpha=90.00 beta=90.00 gamma=90.00
Space group P4/mmm (No. 123)
Symmetry-distinct sites (fractional):
1 Zr 0.0000 0.0000 0.0000 x1
2 In 0.5000 0.5000 0.0000 x1
3 Ru 0.0000 0.5000 0.5000 x2
4 Pt 0.5000 0.5000 0.5000 x1

Calculated values
The calculation puts the energy of formation from the pure elements at 1.154 eV per atom. The calculation puts the density of states at the Fermi level at 1.6238 states/eV/atom.

=====

Entry 3:
Here is a geometry-optimized Hf5Nb2Ga4 structure from the Alexandria database. Energies are from GGA-PBE.

Unit cell a=2.9921 b=6.6878 c=23.2807 alpha=90.00 beta=90.00 gamma=90.00
Space group Immm (No. 71)
Symmetry-distinct sites (fractional):
1 Hf 0.0000 0.0000 0.0000 x2
2 Hf 0.0000 0.2334 0.3083 x8
3 Nb 0.0000 0.5000 0.1000 x4
4 Ga 0.0000 0.1722 0.5000 x4
5 Ga 0.0000 0.5000 0.3981 x4

Calculated values
The calculation puts the energy of formation from the pure elements at 0.278 eV per atom. The calculation puts the density of states at the Fermi level at 0.9779 states/eV/atom.

=====

Entry 4:
Here is a geometry-optimized Mn2InPbBr8 structure from the Alexandria database. Energies are from GGA-PBE.

Unit cell a=7.0555 b=7.0555 c=9.9519 alpha=90.00 beta=90.00 gamma=120.00
Space group P-3 (No. 147)
Symmetry-distinct sites (fractional):
1 Mn 0.3333 0.6667 0.2577 x2
2 In 0.0000 0.0000 0.5000 x1
3 Pb 0.0000 0.0000 0.0000 x1
4 Br 0.0025 0.6703 0.8067 x6
5 Br 0.3333 0.6667 0.4966 x2

Calculated values
The calculation puts the density of states at the Fermi level at 0.8761 states/eV/atom. The value obtained for the uncorrected formation energy is -0.689 eV per atom.

=====

Entry 5:
Here is a geometry-optimized La6CuPt5 structure from the Alexandria database. Energies are from GGA-PBE.

Unit cell a=5.5420 b=7.9626 c=7.9690 alpha=102.04 beta=105.08 gamma=110.02
Space group P-1 (No. 2)
Symmetry-distinct sites (fractional):
1 La 0.0802 0.2726 0.2774 x2
2 La 0.3074 0.4420 0.7620 x2
3 La 0.3763 0.9178 0.2320 x2
4 Cu 0.0000 0.0000 0.5000 x1
5 Pt 0.0000 0.5000 0.0000 x1
6 Pt 0.2237 0.1418 0.9409 x2
7 Pt 0.3114 0.6902 0.4986 x2

Calculated values
The calculation puts the energy of formation from the pure elements at -0.943 eV per atom. The calculation puts the density of states at the Fermi level at 0.6531 states/eV/atom.

=====

Entry 6:
Here is a geometry-optimized TbY4Ru5 structure from the Alexandria database. Energies are from GGA-PBE.

Unit cell a=3.4153 b=3.4153 c=17.0287 alpha=90.00 beta=90.00 gamma=90.00
Space group P4/mmm (No. 123)
Symmetry-distinct sites (fractional):
1 Tb 0.0000 0.0000 0.0000 x1
2 Y 0.0000 0.0000 0.2001 x2
3 Y 0.0000 0.0000 0.4000 x2
4 Ru 0.5000 0.5000 0.0990 x2
5 Ru 0.5000 0.5000 0.3000 x2
6 Ru 0.5000 0.5000 0.5000 x1

Calculated values
The calculation puts the energy of formation from the pure elements at -0.276 eV per atom. The calculation puts the density of states at the Fermi level at 1.3904 states/eV/atom.